# SeBr2F PBE optimized geometry
data_SeBr2F
_chemical_formula_sum 'Se4 Br8 F4'
_space_group_name_H-M_alt 'F m -3 m'
_space_group_IT_number 225
_space_group_name_Hall '-F 4 2 3'
_cell_length_a 6.7529
_cell_length_b 6.7529
_cell_length_c 6.7529
_cell_angle_alpha 90.00
_cell_angle_beta 90.00
_cell_angle_gamma 90.00
loop_
_atom_site_label
_atom_site_type_symbol
_atom_site_fract_x
_atom_site_fract_y
_atom_site_fract_z
_atom_site_occupancy
Se1 Se 0.0000 0.0000 0.0000 1
Br1 Br 0.2500 0.2500 0.2500 1
F1 F 0.0000 0.0000 0.5000 1
# Magnetic moment: 0.000 μB/cell
# Relative energy among the computed polymorphs: 0.085 eV per atom

=====

# Se2Br3F2 PBE optimized geometry
data_Se2Br3F2
_chemical_formula_sum 'Se2 Br3 F2'
_space_group_name_H-M_alt 'P -1'
_space_group_IT_number 2
_cell_length_a 4.6299
_cell_length_b 6.5143
_cell_length_c 7.5923
_cell_angle_alpha 76.76
_cell_angle_beta 89.79
_cell_angle_gamma 85.54
loop_
_space_group_symop_operation_xyz
'x,y,z'
'-x,-y,-z'
loop_
_atom_site_label
_atom_site_type_symbol
_atom_site_fract_x
_atom_site_fract_y
_atom_site_fract_z
_atom_site_occupancy
Se1 Se 0.0209 0.0918 0.1908 1
Br1 Br 0.0000 0.5000 0.0000 1
Br2 Br 0.0774 0.7519 0.3914 1
F1 F 0.3687 0.8979 0.8209 1
# Magnetic moment: 0.000 μB/cell
# Total DFT energy (no corrections): -19.4 eV for the cell shown

=====

# SeBrF2 PBE optimized geometry
data_SeBrF2
_chemical_formula_sum 'Se4 Br4 F8'
_space_group_name_H-M_alt 'F m -3 m'
_space_group_IT_number 225
_space_group_name_Hall '-F 4 2 3'
_cell_length_a 6.1906
_cell_length_b 6.1906
_cell_length_c 6.1906
_cell_angle_alpha 90.00
_cell_angle_beta 90.00
_cell_angle_gamma 90.00
loop_
_atom_site_label
_atom_site_type_symbol
_atom_site_fract_x
_atom_site_fract_y
_atom_site_fract_z
_atom_site_occupancy
Se1 Se 0.0000 0.0000 0.0000 1
Br1 Br 0.0000 0.0000 0.5000 1
F1 F 0.2500 0.2500 0.2500 1
# Magnetic moment: 0.000 μB/cell
# Relative energy among the computed polymorphs: 0.746 eV per atom

=====

# Se2Br4F PBE optimized geometry
data_Se2Br4F
_chemical_formula_sum 'Se4 Br8 F2'
_space_group_name_H-M_alt 'I 4/m m m'
_space_group_IT_number 139
_space_group_name_Hall '-I 4 2'
_cell_length_a 4.8179
_cell_length_b 4.8179
_cell_length_c 16.3177
_cell_angle_alpha 90.00
_cell_angle_beta 90.00
_cell_angle_gamma 90.00
loop_
_atom_site_label
_atom_site_type_symbol
_atom_site_fract_x
_atom_site_fract_y
_atom_site_fract_z
_atom_site_occupancy
Se1 Se 0.0000 0.0000 0.1673 1
Br1 Br 0.0000 0.0000 0.3059 1
Br2 Br 0.0000 0.5000 0.0000 1
F1 F 0.0000 0.0000 0.5000 1
# Magnetic moment: 0.000 μB/cell
# Total DFT energy (no corrections): -28.6 eV for the cell shown

=====

# SeBrF3 PBE optimized geometry
data_SeBrF3
_chemical_formula_sum 'Se1 Br1 F3'
_space_group_name_H-M_alt 'P m -3 m'
_space_group_IT_number 221
_space_group_name_Hall '-P 4 2 3'
_cell_length_a 4.3007
_cell_length_b 4.3007
_cell_length_c 4.3007
_cell_angle_alpha 90.00
_cell_angle_beta 90.00
_cell_angle_gamma 90.00
loop_
_atom_site_label
_atom_site_type_symbol
_atom_site_fract_x
_atom_site_fract_y
_atom_site_fract_z
_atom_site_occupancy
Se1 Se 0.0000 0.0000 0.0000 1
Br1 Br 0.5000 0.5000 0.5000 1
F1 F 0.0000 0.0000 0.5000 1
# Magnetic moment: 0.937 μB/cell
# Relative energy among the computed polymorphs: 0.658 eV per atom

=====

# SeBrF PBE optimized geometry
data_SeBrF
_chemical_formula_sum 'Se4 Br4 F4'
_space_group_name_H-M_alt 'C 1 2/m 1'
_space_group_IT_number 12
_cell_length_a 11.1257
_cell_length_b 4.9948
_cell_length_c 7.3674
_cell_angle_alpha 90.00
_cell_angle_beta 124.58
_cell_angle_gamma 90.00
loop_
_space_group_symop_operation_xyz
'x,y,z'
'-x,-y,-z'
'-x,y,-z'
'x,-y,z'
'x+1/2,y+1/2,z'
'-x+1/2,-y+1/2,-z'
'-x+1/2,y+1/2,-z'
'x+1/2,-y+1/2,z'
loop_
_atom_site_label
_atom_site_type_symbol
_atom_site_fract_x
_atom_site_fract_y
_atom_site_fract_z
_atom_site_occupancy
Se1 Se 0.0134 0.0000 0.1866 1
Br1 Br 0.0529 0.5000 0.8113 1
F1 F 0.1401 0.0000 0.4869 1
# Magnetic moment: 0.000 μB/cell
# Relative energy among the computed polymorphs: 0.037 eV per atom

=====

# Se4BrF PBE optimized geometry
data_Se4BrF
_chemical_formula_sum 'Se16 Br4 F4'
_space_group_name_H-M_alt 'C 1 2/c 1'
_space_group_IT_number 15
_cell_length_a 8.2827
_cell_length_b 11.2945
_cell_length_c 8.1902
_cell_angle_alpha 90.00
_cell_angle_beta 116.17
_cell_angle_gamma 90.00
loop_
_space_group_symop_operation_xyz
'x,y,z'
'-x,-y,-z'
'-x,y,-z+1/2'
'x,-y,z+1/2'
'x+1/2,y+1/2,z'
'-x+1/2,-y+1/2,-z'
'-x+1/2,y+1/2,-z+1/2'
'x+1/2,-y+1/2,z+1/2'
loop_
_atom_site_label
_atom_site_type_symbol
_atom_site_fract_x
_atom_site_fract_y
_atom_site_fract_z
_atom_site_occupancy
Se1 Se 0.1207 0.1854 0.2134 1
Se2 Se 0.1220 0.3971 0.2163 1
Br1 Br 0.0000 0.0969 0.7500 1
F1 F 0.0000 0.4207 0.7500 1
# Magnetic moment: 0.000 μB/cell
# Total DFT energy (no corrections): -76.1 eV for the cell shown

=====

# SeBr2F PBE optimized geometry
data_SeBr2F
_chemical_formula_sum 'Se4 Br8 F4'
_space_group_name_H-M_alt 'I -4 2 d'
_space_group_IT_number 122
_space_group_name_Hall 'I -4 2bw'
_cell_length_a 5.3262
_cell_length_b 5.3262
_cell_length_c 15.4868
_cell_angle_alpha 90.00
_cell_angle_beta 90.00
_cell_angle_gamma 90.00
loop_
_atom_site_label
_atom_site_type_symbol
_atom_site_fract_x
_atom_site_fract_y
_atom_site_fract_z
_atom_site_occupancy
Se1 Se 0.0000 0.0000 0.0000 1
Br1 Br 0.2103 0.2500 0.1250 1
F1 F 0.0000 0.0000 0.5000 1
# Magnetic moment: 0.000 μB/cell
# Relative energy among the computed polymorphs: 0.009 eV per atom

=====

> What is the magnetic moment in the fifth record?

0.937 μB/cell

=====

> magnetic moment of number 1 (SeBr2F)?

0.000 μB/cell